No. 1
Entry from Alexandria via LeMat-Bulk: a geometry-optimized Ba4Li5Ag6 structure (PBE).

Calculated values
- Energy of formation: -144 meV per atom
- DOS at the Fermi energy: 12.1 states/eV per cell
- SG: Cmc2_1, No. 36
- Total magnetization: 0.00 Bohr magnetons per cell

Cell: 11.1055 11.1055 17.4237 Å, 90.00 90.00 155.36°
With the nearest neighbours (Å) after each atom.
Element x y z (fractional)
Ba (0.0183, 0.9817, 0.5000)  7 Ag 3.47-3.71, 5 Li 3.68-3.78
Ba (0.0188, 0.9812, 0.2439)  7 Ag 3.46-3.72, 5 Li 3.66-3.78
Ba (0.1752, 0.8248, 0.0525)  6 Ag 3.38-3.49
Ba (0.1746, 0.8254, 0.6910)  6 Ag 3.38-3.49
Ba (0.8254, 0.1746, 0.1910)  6 Ag 3.38-3.49
Ba (0.8248, 0.1752, 0.5525)  6 Ag 3.38-3.49
Ba (0.9812, 0.0188, 0.7439)  7 Ag 3.46-3.72, 5 Li 3.66-3.78
Ba (0.9817, 0.0183, 0.0000)  7 Ag 3.47-3.71, 5 Li 3.68-3.78
Li (0.1529, 0.8471, 0.3717)  4 Ag 2.65-2.93
Li (0.2954, 0.7046, 0.3719)  4 Ag 2.85-3.02, 2 Li 3.04-3.09
Li (0.3452, 0.6548, 0.7471)  3 Ag 2.72-2.80
Li (0.3459, 0.6541, 0.9976)  3 Ag 2.72-2.80
Li (0.4355, 0.5645, 0.3718)  2 Ag 2.64
Li (0.5645, 0.4355, 0.8718)  2 Ag 2.64
Li (0.6541, 0.3459, 0.4976)  3 Ag 2.72-2.80
Li (0.6548, 0.3452, 0.2471)  3 Ag 2.72-2.80
Li (0.7046, 0.2954, 0.8719)  4 Ag 2.85-3.02, 2 Li 3.04-3.09
Li (0.8471, 0.1529, 0.8717)  4 Ag 2.65-2.93
Ag (0.1181, 0.8819, 0.8719)  2 Li 2.64
Ag (0.2160, 0.7840, 0.2416)  4 Li 2.65-2.85
Ag (0.2156, 0.7844, 0.5020)  4 Li 2.65-2.85
Ag (0.4267, 0.5733, 0.8721)  5 Li 2.80-2.99
Ag (0.4344, 0.5656, 0.1336)  1 Ag 2.89, 1 Li 3.05
Ag (0.4335, 0.5665, 0.6105)  1 Ag 2.89, 1 Li 3.06
Ag (0.5665, 0.4335, 0.1105)  1 Ag 2.89, 1 Li 3.06
Ag (0.5656, 0.4344, 0.6336)  1 Ag 2.89, 1 Li 3.05
Ag (0.5733, 0.4267, 0.3721)  5 Li 2.80-2.99
Ag (0.7844, 0.2156, 0.0020)  4 Li 2.65-2.85
Ag (0.7840, 0.2160, 0.7416)  4 Li 2.65-2.85
Ag (0.8819, 0.1181, 0.3719)  2 Li 2.64


No. 2
Entry from Alexandria via LeMat-Bulk: a geometry-optimized Na3Th2Te6Au structure (PBE).

Calculated values
- Uncorrected formation energy: -0.926 eV per atom
- SG: C2/m, No. 12
- Total magnetization: 0.00 Bohr magnetons per cell

Cell: 7.7230 7.7230 8.0036 Å, 99.81 99.81 118.75°
With the nearest neighbours (Å) after each atom.
Element x y z (fractional)
Na (0.0000, 0.0000, 0.0000)  6 Te 3.21-3.24
Na (0.3328, 0.6672, 0.0000)  6 Te 3.25-3.33
Na (0.6672, 0.3328, 0.0000)  6 Te 3.25-3.33
Th (0.1673, 0.8327, 0.5000)  6 Te 3.13-3.16
Th (0.8327, 0.1673, 0.5000)  6 Te 3.13-3.16
Te (0.0944, 0.4198, 0.2694)  1 Au 3.06, 2 Th 3.13-3.16, 3 Na 3.24-3.33
Te (0.2373, 0.2373, 0.7432)  2 Th 3.13, 3 Na 3.21-3.25, 1 Au 3.28
Te (0.4198, 0.0944, 0.2694)  1 Au 3.06, 2 Th 3.13-3.16, 3 Na 3.24-3.33
Te (0.5802, 0.9056, 0.7306)  1 Au 3.06, 2 Th 3.13-3.16, 3 Na 3.24-3.33
Te (0.7627, 0.7627, 0.2568)  2 Th 3.13, 3 Na 3.21-3.25, 1 Au 3.28
Te (0.9056, 0.5802, 0.7306)  1 Au 3.06, 2 Th 3.13-3.16, 3 Na 3.24-3.33
Au (0.5000, 0.5000, 0.5000)  6 Te 3.06-3.28


No. 3
Entry from Alexandria via LeMat-Bulk: a geometry-optimized CaGa3P structure (PBE).

Calculated values
- Energy of formation: 1066 meV per atom
- DOS at the Fermi energy: 2.2 states/eV per cell
- SG: Pm-3m, No. 221
- Total magnetization: 0.00 Bohr magnetons per cell
- Energy above the lowest structure with this stoichiometry: 1014 meV/atom

Cell: 5.4651 5.4651 5.4651 Å, 90.00 90.00 90.00°
With the nearest neighbours (Å) after each atom.
Element x y z (fractional)
Ca (0.0000, 0.0000, 0.0000)  6 Ga 2.73
Ga (0.0000, 0.0000, 0.5000)  2 Ca 2.73
Ga (0.0000, 0.5000, 0.0000)  2 Ca 2.73
Ga (0.5000, 0.0000, 0.0000)  2 Ca 2.73
P (0.5000, 0.5000, 0.5000)  12 Ga 3.86